Material: ErSc2Tl3S6
Method: DFT, PBE
State: relaxed Values from VASP.

Cell and atoms, written as Quantum ESPRESSO input:
```
&SYSTEM
  ibrav = 0, nat = 12, ntyp = 4
/
ATOMIC_SPECIES
Er 167.26 Er.upf
Sc 44.96 Sc.upf
Tl 204.38 Tl.upf
S 32.06 S.upf
CELL_PARAMETERS angstrom
6.705 0.001 0.000
-3.350 5.808 0.000
-1.118 -1.937 7.494
ATOMIC_POSITIONS angstrom
Er 0.000 0.000 0.000
Sc 0.002 3.872 0.000
Sc 3.353 1.937 0.000
Tl -2.256 3.885 3.747
Tl 4.492 -0.012 3.747
Tl 1.118 1.936 3.747
S 3.391 1.873 6.057
S 2.200 3.809 1.420
S -1.154 2.000 1.438
S -0.073 3.873 6.057
S 0.037 0.064 6.075
S 2.309 0.000 1.438
```

Summary:
**SG**: No. 12
**Energy relative to the elements, uncorrected**: -1406 meV/atom
**Total moment**: 0.00 μB/f.u.
**Energy**: -5.496 eV per atom



Material: PmDyHo2N4
Method: DFT, PBE
State: relaxed Values from VASP.

Cell and atoms, written as Quantum ESPRESSO input:
```
&SYSTEM
  ibrav = 0, nat = 8, ntyp = 4
/
ATOMIC_SPECIES
Pm 145.00 Pm.upf
Dy 162.50 Dy.upf
Ho 164.93 Ho.upf
N 14.01 N.upf
CELL_PARAMETERS angstrom
3.498 0.000 0.000
0.000 6.057 0.108
0.000 -2.117 5.677
ATOMIC_POSITIONS angstrom
Pm 1.749 3.029 0.054
Dy 0.000 0.000 0.000
Ho 1.749 -1.059 2.838
Ho 0.000 1.970 2.893
N 1.749 0.961 1.470
N 1.749 2.979 4.315
N 0.000 -0.096 4.243
N 0.000 4.036 1.543
```

Summary:
**SG**: No. 10
**Energy relative to the elements, uncorrected**: -1643 meV/atom
**Total moment**: 0.00 μB/f.u.
**DOS at the Fermi energy**: 0.228 states/eV/cell
**Energy**: -8.119 eV per atom



Material: CrRu2Cl
Method: DFT, PBE
State: relaxed Values from VASP.

Cell and atoms, written as Quantum ESPRESSO input:
```
&SYSTEM
  ibrav = 0, nat = 4, ntyp = 3
/
ATOMIC_SPECIES
Ru 101.07 Ru.upf
Cl 35.45 Cl.upf
Cr 52.00 Cr.upf
CELL_PARAMETERS angstrom
0.000 3.027 3.027
3.027 0.000 3.027
3.027 3.027 0.000
ATOMIC_POSITIONS angstrom
Ru 1.513 1.513 1.513
Ru 4.540 4.540 4.540
Cl 0.000 0.000 0.000
Cr 3.027 3.027 3.027
```

Summary:
**SG**: No. 225
**Distance to the lowest polymorph of the same formula**: 2.41 eV per formula unit
**Energy relative to the elements, uncorrected**: 899 meV/atom
**Total moment**: 0.00 μB/f.u.
**DOS at the Fermi energy**: 4.613 states/eV/cell
**Energy**: -6.607 eV per atom



Material: LiMnFe2
Method: DFT, PBE
State: relaxed Values from VASP.

Cell and atoms, written as Quantum ESPRESSO input:
```
&SYSTEM
  ibrav = 0, nat = 8, ntyp = 3
/
ATOMIC_SPECIES
Mn 54.94 Mn.upf
Fe 55.84 Fe.upf
Li 6.94 Li.upf
CELL_PARAMETERS angstrom
-2.804 -1.609 -5.376
2.125 -5.866 0.647
-2.350 -4.330 -1.138
ATOMIC_POSITIONS angstrom
Mn 0.000 0.000 0.000
Mn -2.747 -4.838 -4.439
Fe -2.200 -2.893 -3.803
Fe 0.515 -4.878 -0.312
Fe -2.112 -5.789 -2.656
Fe -2.262 -10.050 -4.962
Li -0.340 -3.737 -2.364
Li -0.283 -6.967 -1.428
```

Summary:
**SG**: No. 122
**Distance to the lowest polymorph of the same formula**: 1.90 eV per formula unit
**Energy of formation**: 0.679 eV per atom
**Total moment**: 0.00 μB/f.u.
**DOS at the Fermi energy**: 2.903 states/eV/cell
**Energy**: -6.323 eV per atom



Material: Rb2Sn5Pt3
Method: DFT, PBE
State: relaxed Values from VASP.

Cell and atoms, written as Quantum ESPRESSO input:
```
&SYSTEM
  ibrav = 0, nat = 20, ntyp = 3
/
ATOMIC_SPECIES
Rb 85.47 Rb.upf
Sn 118.71 Sn.upf
Pt 195.08 Pt.upf
CELL_PARAMETERS angstrom
-0.731 5.728 3.662
-1.678 -1.978 9.144
7.914 1.970 4.882
ATOMIC_POSITIONS angstrom
Rb -0.185 -0.197 6.657
Rb 4.167 4.608 6.392
Rb 5.689 5.918 11.031
Rb 1.338 1.112 11.296
Sn 6.869 3.683 8.378
Sn -0.319 3.740 13.240
Sn -1.364 2.037 9.310
Sn 5.823 1.981 4.448
Sn 4.318 2.852 12.361
Sn 1.186 2.868 5.327
Sn 2.570 4.292 9.759
Sn 2.935 1.428 7.928
Sn 1.552 0.004 3.496
Sn 3.953 5.717 14.192
Pt 4.702 2.587 9.661
Pt 2.180 4.563 12.451
Pt 0.802 3.134 8.027
Pt 3.325 1.158 5.237
Pt -0.183 1.432 0.915
Pt -0.548 4.296 2.746
```

Summary:
**SG**: No. 72
**Energy of formation**: -0.385 eV per atom
**Total moment**: 0.00 μB/f.u.
**DOS at the Fermi energy**: 9.648 states/eV/cell
**Energy**: -4.392 eV per atom



Material: Nd3GeI7
Method: DFT, PBE
State: relaxed Values from VASP.

Cell and atoms, written as Quantum ESPRESSO input:
```
&SYSTEM
  ibrav = 0, nat = 11, ntyp = 3
/
ATOMIC_SPECIES
Nd 144.24 Nd.upf
Ge 72.64 Ge.upf
I 126.90 I.upf
CELL_PARAMETERS angstrom
7.420 0.000 0.010
0.000 9.311 0.000
0.011 -4.655 7.688
ATOMIC_POSITIONS angstrom
Nd 5.767 2.322 3.911
Nd 5.740 0.000 7.560
Nd 5.767 -2.322 3.911
Ge 4.213 0.000 5.054
I 0.231 -2.219 6.399
I 0.053 0.000 2.597
I 0.210 4.655 2.536
I 4.005 6.877 1.319
I 4.005 2.434 1.319
I 4.086 4.655 5.168
I 0.231 2.219 6.399
```

Summary:
**SG**: No. 8
**Energy relative to the elements, uncorrected**: -1078 meV/atom
**Total moment**: 2.00 μB/f.u.
**DOS at the Fermi energy**: 2.043 states/eV/cell
**Energy**: -3.784 eV per atom



Material: NbGe3Cl
Method: DFT, PBE
State: relaxed Values from VASP.

Cell and atoms, written as Quantum ESPRESSO input:
```
&SYSTEM
  ibrav = 0, nat = 5, ntyp = 3
/
ATOMIC_SPECIES
Nb 92.91 Nb.upf
Ge 72.64 Ge.upf
Cl 35.45 Cl.upf
CELL_PARAMETERS angstrom
4.764 0.000 0.000
0.000 4.764 0.000
0.000 0.000 4.764
ATOMIC_POSITIONS angstrom
Nb 2.382 2.382 2.382
Ge 0.000 2.382 0.000
Ge 0.000 0.000 2.382
Ge 2.382 0.000 0.000
Cl 0.000 0.000 0.000
```

Summary:
**SG**: No. 221
**Distance to the lowest polymorph of the same formula**: 3.84 eV per formula unit
**Energy relative to the elements, uncorrected**: 1061 meV/atom
**Total moment**: 0.00 μB/f.u.
**DOS at the Fermi energy**: 4.436 states/eV/cell
**Energy**: -4.093 eV per atom



Material: LaSiSb2
Method: DFT, PBE
State: relaxed Values from VASP.

Cell and atoms, written as Quantum ESPRESSO input:
```
&SYSTEM
  ibrav = 0, nat = 4, ntyp = 3
/
ATOMIC_SPECIES
La 138.91 La.upf
Sb 121.76 Sb.upf
Si 28.09 Si.upf
CELL_PARAMETERS angstrom
8.153 0.015 0.009
7.105 3.998 0.009
7.105 1.869 3.534
ATOMIC_POSITIONS angstrom
La 16.773 4.411 2.664
Sb 22.059 5.802 3.504
Sb 11.486 3.021 1.825
Si 5.591 1.470 0.888
```

Summary:
**SG**: No. 166
**Energy relative to the elements, uncorrected**: -198 meV/atom
**Total moment**: 0.00 μB/f.u.
**DOS at the Fermi energy**: 4.010 states/eV/cell
**Energy**: -4.847 eV per atom



Material: MnAsCl2
Method: DFT, PBE
State: relaxed Values from VASP.

Cell and atoms, written as Quantum ESPRESSO input:
```
&SYSTEM
  ibrav = 0, nat = 4, ntyp = 3
/
ATOMIC_SPECIES
As 74.92 As.upf
Mn 54.94 Mn.upf
Cl 35.45 Cl.upf
CELL_PARAMETERS angstrom
8.556 -0.073 -0.043
7.877 3.340 -0.043
7.877 1.566 2.950
ATOMIC_POSITIONS angstrom
As 5.689 1.131 0.670
Mn 12.291 2.443 1.448
Cl 23.773 4.726 2.800
Cl 19.022 3.781 2.241
```

Summary:
**SG**: No. 160
**Distance to the lowest polymorph of the same formula**: 0.43 eV per formula unit
**Energy relative to the elements, uncorrected**: -313 meV/atom
**Total moment**: 3.48 μB/f.u.
**DOS at the Fermi energy**: 3.844 states/eV/cell
**Energy**: -4.691 eV per atom



Material: TiCuCl2
Method: DFT, PBE
State: relaxed Values from VASP.

Cell and atoms, written as Quantum ESPRESSO input:
```
&SYSTEM
  ibrav = 0, nat = 8, ntyp = 3
/
ATOMIC_SPECIES
Cl 35.45 Cl.upf
Cu 63.55 Cu.upf
Ti 47.87 Ti.upf
CELL_PARAMETERS angstrom
-0.319 3.604 -4.516
3.194 -3.659 -3.146
-2.739 -2.339 -5.381
ATOMIC_POSITIONS angstrom
Cl -0.492 1.299 -4.672
Cl 1.279 -2.510 -3.765
Cl -1.054 -1.686 -6.832
Cl 0.540 -1.893 -10.817
Cu 0.000 0.000 0.000
Cu -0.810 0.618 -6.864
Ti 1.437 -0.028 -3.831
Ti 0.946 -3.013 -6.179
```

Summary:
**SG**: No. 122
**Energy relative to the elements, uncorrected**: -222 meV/atom
**Total moment**: 2.94 μB/f.u.
**DOS at the Fermi energy**: 6.415 states/eV/cell
**Energy**: -4.143 eV per atom



Material: MnCdFe2
Method: DFT, PBE
State: relaxed Values from VASP.

Cell and atoms, written as Quantum ESPRESSO input:
```
&SYSTEM
  ibrav = 0, nat = 4, ntyp = 3
/
ATOMIC_SPECIES
Cd 112.41 Cd.upf
Fe 55.84 Fe.upf
Mn 54.94 Mn.upf
CELL_PARAMETERS angstrom
2.633 0.024 0.000
-0.723 2.532 0.000
0.000 0.000 8.221
ATOMIC_POSITIONS angstrom
Cd 0.955 1.278 6.166
Fe 0.000 0.000 0.244
Fe 0.000 0.000 3.866
Mn 0.955 1.278 2.055
```

Summary:
**SG**: No. 65
**Energy of formation**: 0.369 eV per atom
**Total moment**: 6.20 μB/f.u.
**DOS at the Fermi energy**: 5.791 states/eV/cell
**Energy**: -6.384 eV per atom



Material: SmDyTm3Th
Method: DFT, PBE
State: relaxed Values from VASP.

Cell and atoms, written as Quantum ESPRESSO input:
```
&SYSTEM
  ibrav = 0, nat = 12, ntyp = 4
/
ATOMIC_SPECIES
Sm 150.36 Sm.upf
Dy 162.50 Dy.upf
Tm 168.93 Tm.upf
Th 232.04 Th.upf
CELL_PARAMETERS angstrom
3.546 0.000 0.000
0.000 10.596 -0.280
0.000 -3.192 10.073
ATOMIC_POSITIONS angstrom
Sm 0.887 0.409 2.894
Sm 2.660 6.995 6.899
Dy 0.887 -0.634 6.271
Dy 2.660 8.038 3.523
Tm 2.660 9.105 0.163
Tm 0.887 -1.701 9.630
Tm 0.887 5.153 4.434
Tm 2.660 2.251 5.360
Tm 2.660 3.367 1.978
Tm 0.887 4.037 7.815
Th 0.887 6.232 1.066
Th 2.660 1.171 8.727
```

Summary:
**SG**: No. 11
**Energy of formation**: 0.023 eV per atom
**Total moment**: 0.00 μB/f.u.
**DOS at the Fermi energy**: 16.383 states/eV/cell
**Energy**: -5.003 eV per atom



Look up the total moment of the eleventh one. 6.20 μB/f.u.



total moment of number 10 (TiCuCl2)? 2.94 μB/f.u.